Record 1
# MgIr2Os

A relaxed MgIr2Os crystal (GGA-PBE, Alexandria).

Computed properties:
Formation energy from the elements ... -0.18 eV/f.u.
Magnetic moment ... 0.000 μB/atom

Cell: 2.783 3.835 5.558 Å, 90.00 90.16 90.00°
Space group P2/m (No. 10)
Asymmetric unit:
Mg 0.000 0.000 0.000 [1 per cell]
Ir 0.499 0.500 0.742 [2 per cell]
Os 0.000 0.000 0.500 [1 per cell]

---

Record 2
# MgIr2Os

A relaxed MgIr2Os crystal (GGA-PBE, Alexandria).

Computed properties:
Formation energy from the elements ... -0.61 eV/f.u.
Magnetic moment ... 0.000 μB/atom

Cell: 2.785 2.785 7.744 Å, 90.00 90.00 90.00°
Space group P4/mmm (No. 123)
Asymmetric unit:
Mg 0.000 0.000 0.000 [1 per cell]
Ir 0.500 0.500 0.264 [2 per cell]
Os 0.000 0.000 0.500 [1 per cell]

---

Record 3
# MgIr2Os

A relaxed MgIr2Os crystal (GGA-PBE, Alexandria).

Computed properties:
Formation energy from the elements ... 0.83 eV/f.u.
Magnetic moment ... 0.000 μB/atom

Cell: 2.829 4.542 4.652 Å, 90.00 90.00 90.00°
Space group Pmmm (No. 47)
Asymmetric unit:
Mg 0.000 0.000 0.000 [1 per cell]
Ir 0.000 0.500 0.500 [1 per cell]
Ir 0.500 0.500 0.000 [1 per cell]
Os 0.500 0.000 0.500 [1 per cell]

---

Record 4
# MgIrOs2

A relaxed MgIrOs2 crystal (GGA-PBE, Alexandria).

Computed properties:
Formation energy from the elements ... 0.73 eV/f.u.
Magnetic moment ... 0.000 μB/atom

Cell: 3.799 3.799 8.154 Å, 90.00 90.00 90.00°
Space group I4/mmm (No. 139)
Asymmetric unit:
Mg 0.000 0.000 0.000 [2 per cell]
Ir 0.000 0.000 0.500 [2 per cell]
Os 0.000 0.500 0.250 [4 per cell]